--- A ---
Density functional theory data (GGA-PBE) for an optimized crystal structure of Rb2VOs.

Structure (POSCAR):
```
Rb2VOs
1.0
-6.7254 6.7254 2.2612
6.7254 -6.7254 2.2612
6.7254 6.7254 -2.2612
Rb V Os
4 2 2
direct
0.3750 0.1908 0.3158
0.8092 0.1250 0.1842
0.8750 0.0592 0.6842
0.9408 0.6250 0.8158
0.0000 0.0000 0.0000
0.7500 0.2500 0.5000
0.2500 0.7500 0.5000
0.5000 0.5000 0.0000
```

Calculated values
**Magnetization**: 1.73 μB/f.u.
**Crystal system**: tetragonal

=====

--- B ---
Density functional theory data (GGA-PBE) for an optimized crystal structure of Rb2VOs.

Structure (POSCAR):
```
Rb2VOs
1.0
0.0000 4.0227 4.0227
4.0227 0.0000 4.0227
4.0227 4.0227 0.0000
Rb V Os
2 1 1
direct
0.2500 0.2500 0.2500
0.7500 0.7500 0.7500
0.0000 0.0000 0.0000
0.5000 0.5000 0.5000
```

Calculated values
**Magnetization**: 6.15 μB/f.u.
**Crystal system**: cubic

=====

Going by the energies, A is most stable and the next is 901 meV per atom up.